Entry 1:
Entry from Alexandria via LeMat-Bulk: crystalline AlGaAu14 at its relaxed geometry (PBE).

Lattice parameters (Å, degrees): 5.729 5.729 9.473 90.00 90.00 113.09
Atoms (fractional coordinates):
Au: 0.370 0.630 0.751
Au: 0.370 0.630 0.249
Au: 0.072 0.423 0.500
Al: 0.567 0.433 0.500
Au: 0.865 0.627 0.270
Au: 0.373 0.135 0.730
Au: 0.872 0.128 0.245
Ga: 0.071 0.929 0.500
Au: 0.193 0.313 0.000
Au: 0.186 0.814 0.000
Au: 0.373 0.135 0.270
Au: 0.865 0.627 0.730
Au: 0.872 0.128 0.755
Au: 0.687 0.313 0.000
Au: 0.687 0.807 0.000
Au: 0.577 0.928 0.500

**Final energy**: -53.49 eV per cell
**Energy relative to the elements**: -52 meV/atom

Entry 2:
Entry from Alexandria via LeMat-Bulk: crystalline Al3GaAu6 at its relaxed geometry (PBE).

Lattice parameters (Å, degrees): 3.448 11.193 12.728 133.34 90.00 90.00
Atoms (fractional coordinates):
Al: 0.750 0.477 0.584
Au: 0.250 0.980 0.638
Au: 0.250 0.697 0.203
Au: 0.750 0.538 0.268
Al: 0.750 0.080 0.142
Au: 0.750 0.120 0.885
Au: 0.250 0.462 0.732
Au: 0.750 0.739 0.621
Au: 0.250 0.880 0.115
Ga: 0.250 0.375 0.000
Au: 0.750 0.303 0.797
Al: 0.750 0.855 0.439
Au: 0.750 0.020 0.362
Au: 0.750 0.755 0.870
Al: 0.250 0.145 0.561
Ga: 0.750 0.625 0.000
Al: 0.250 0.920 0.858
Al: 0.250 0.523 0.416
Au: 0.250 0.245 0.130
Au: 0.250 0.261 0.379

**Final energy**: -73.49 eV per cell
**Energy relative to the elements**: -282 meV/atom

Entry 3:
Entry from Alexandria via LeMat-Bulk: crystalline Al6Ga12Au at its relaxed geometry (PBE).

Lattice parameters (Å, degrees): 7.230 7.230 7.230 97.84 97.84 97.84
Atoms (fractional coordinates):
Ga: 0.986 0.137 0.674
Al: 0.177 0.471 0.270
Ga: 0.137 0.674 0.986
Al: 0.823 0.529 0.730
Ga: 0.182 0.506 0.643
Ga: 0.014 0.863 0.326
Au: 0.000 0.000 0.000
Al: 0.730 0.823 0.529
Al: 0.471 0.270 0.177
Ga: 0.506 0.643 0.182
Ga: 0.863 0.326 0.014
Al: 0.529 0.730 0.823
Al: 0.270 0.177 0.471
Ga: 0.326 0.014 0.863
Ga: 0.818 0.494 0.357
Ga: 0.643 0.182 0.506
Ga: 0.494 0.357 0.818
Ga: 0.674 0.986 0.137
Ga: 0.357 0.818 0.494

**Final energy**: -61.63 eV per cell
**Energy relative to the elements**: 22 meV/atom

Entry 4:
Entry from Alexandria via LeMat-Bulk: crystalline Al3Ga5Au12 at its relaxed geometry (PBE).

Lattice parameters (Å, degrees): 13.114 13.114 13.114 109.47 109.47 109.47
Atoms (fractional coordinates):
Ga: 0.750 0.125 0.875
Au: 0.368 0.432 0.100
Au: 0.632 0.568 0.900
Ga: 0.500 0.000 0.500
Al: 0.875 0.750 0.125
Ga: 0.500 0.000 0.000
Ga: 0.500 0.500 0.000
Au: 0.667 0.436 0.568
Ga: 0.625 0.750 0.875
Ga: 0.375 0.250 0.125
Al: 0.625 0.250 0.375
Ga: 0.500 0.500 0.500
Al: 0.125 0.875 0.750
Ga: 0.250 0.375 0.625
Au: 0.936 0.368 0.269
Au: 0.269 0.400 0.833
Ga: 0.625 0.875 0.250
Al: 0.125 0.250 0.875
Al: 0.250 0.125 0.375
Au: 0.231 0.564 0.632
Al: 0.375 0.625 0.250
Au: 0.868 0.600 0.932
Au: 0.769 0.333 0.900
Au: 0.731 0.132 0.064
Ga: 0.000 0.000 0.000
Au: 0.731 0.600 0.167
Au: 0.436 0.667 0.068
Au: 0.368 0.936 0.769
Al: 0.250 0.625 0.875
Au: 0.868 0.269 0.436
Au: 0.064 0.432 0.833
Au: 0.100 0.932 0.368
Ga: 0.000 0.000 0.500
Au: 0.600 0.731 0.667
Ga: 0.875 0.625 0.750
Ga: 0.750 0.625 0.375
Au: 0.132 0.400 0.068
Au: 0.432 0.368 0.600
Ga: 0.000 0.500 0.500
Ga: 0.375 0.125 0.750
Al: 0.875 0.125 0.250
Au: 0.564 0.231 0.132
Au: 0.100 0.167 0.231
Ga: 0.125 0.375 0.250
Au: 0.564 0.333 0.932
Au: 0.064 0.632 0.731
Ga: 0.125 0.750 0.375
Au: 0.068 0.167 0.436
Au: 0.900 0.833 0.769
Au: 0.833 0.900 0.269
Au: 0.600 0.868 0.432
Au: 0.167 0.100 0.731
Au: 0.667 0.231 0.600
Au: 0.568 0.632 0.400
Al: 0.625 0.375 0.750
Al: 0.750 0.875 0.625
Au: 0.632 0.064 0.231
Au: 0.932 0.833 0.564
Au: 0.568 0.936 0.667
Al: 0.750 0.375 0.125
Au: 0.068 0.900 0.132
Au: 0.132 0.731 0.564
Ga: 0.000 0.500 0.000
Ga: 0.250 0.875 0.125
Au: 0.400 0.269 0.333
Au: 0.400 0.132 0.568
Au: 0.900 0.068 0.632
Au: 0.833 0.932 0.064
Ga: 0.875 0.250 0.625
Au: 0.436 0.769 0.868
Au: 0.333 0.769 0.400
Au: 0.231 0.667 0.100
Au: 0.932 0.100 0.868
Au: 0.936 0.568 0.167
Au: 0.432 0.064 0.333
Au: 0.769 0.436 0.368
Au: 0.269 0.868 0.936
Au: 0.333 0.564 0.432
Au: 0.167 0.068 0.936
Al: 0.375 0.750 0.625

**Final energy**: -269.36 eV per cell
**Energy relative to the elements**: -82 meV/atom

Entry 5:
Entry from Alexandria via LeMat-Bulk: crystalline AlGa2Au8 at its relaxed geometry (PBE).

Lattice parameters (Å, degrees): 4.576 6.436 7.738 113.27 105.47 92.88
Atoms (fractional coordinates):
Ga: 0.749 0.572 0.228
Au: 0.475 0.796 0.681
Au: 0.921 0.982 0.546
Au: 0.287 0.341 0.272
Au: 0.837 0.268 0.912
Au: 0.342 0.550 0.907
Au: 0.262 0.837 0.273
Ga: 0.433 0.247 0.590
Au: 0.895 0.477 0.545
Au: 0.707 0.021 0.138
Al: 0.091 0.909 0.909

**Final energy**: -37.77 eV per cell
**Distance to the lowest polymorph of the same formula**: 0 meV/atom
**Energy relative to the elements**: -159 meV/atom

Entry 6:
Entry from Alexandria via LeMat-Bulk: crystalline AlGa2Au2 at its relaxed geometry (PBE).

Lattice parameters (Å, degrees): 7.023 7.023 3.898 90.00 90.00 90.00
Atoms (fractional coordinates):
Au: 0.653 0.153 0.000
Ga: 0.345 0.155 0.500
Al: 0.500 0.500 0.000
Au: 0.347 0.847 0.000
Ga: 0.155 0.655 0.500
Au: 0.153 0.347 0.000
Au: 0.847 0.653 0.000
Ga: 0.655 0.845 0.500
Al: 0.000 0.000 0.000
Ga: 0.845 0.345 0.500

**Final energy**: -33.51 eV per cell
**Distance to the lowest polymorph of the same formula**: 0 meV/atom
**Energy relative to the elements**: -81 meV/atom

What is the final energy in the third record? -61.63 eV per cell

Which formula does entry 5 have? AlGa2Au8